[1]
The following is a PBE+U calculation of a relaxed RbHf2V2O7 crystal, from the Alexandria database.

* E_tot: -102.4 eV/cell
* magnetic moment: 5.0 μB per formula unit

The structure in CIF format:
```
data_RbHf2V2O7
_cell_length_a 4.183
_cell_length_b 4.183
_cell_length_c 9.394
_cell_angle_alpha 102.86
_cell_angle_beta 102.86
_cell_angle_gamma 90.00
_symmetry_space_group_name_H-M 'P 1'
_symmetry_Int_Tables_number 1
_symmetry_space_group_name_Hall 'P 1'
loop_
_atom_site_label
_atom_site_type_symbol
_atom_site_fract_x
_atom_site_fract_y
_atom_site_fract_z
_atom_site_occupancy
O1 O 0.500 0.500 0.000 1
O2 O 0.130 0.630 0.260 1
O3 O 0.370 0.870 0.740 1
O4 O 0.262 0.262 0.523 1
O5 O 0.870 0.370 0.740 1
O6 O 0.738 0.738 0.477 1
O7 O 0.630 0.130 0.260 1
Hf1 Hf 0.613 0.613 0.227 1
Hf2 Hf 0.387 0.387 0.773 1
V1 V 0.250 0.750 0.500 1
V2 V 0.750 0.250 0.500 1
Rb1 Rb 0.000 0.000 0.000 1
```



[2]
The following is a PBE+U calculation of a relaxed Rb2HfW3O12 crystal, from the Alexandria database.

* E_tot: -135.1 eV/cell
* magnetic moment: 0.0 μB per formula unit

The structure in CIF format:
```
data_Rb2HfW3O12
_cell_length_a 7.480
_cell_length_b 7.480
_cell_length_c 7.480
_cell_angle_alpha 59.51
_cell_angle_beta 59.51
_cell_angle_gamma 59.51
_symmetry_space_group_name_H-M 'P 1'
_symmetry_Int_Tables_number 1
_symmetry_space_group_name_Hall 'P 1'
loop_
_atom_site_label
_atom_site_type_symbol
_atom_site_fract_x
_atom_site_fract_y
_atom_site_fract_z
_atom_site_occupancy
O1 O 0.935 0.935 0.328 1
O2 O 0.309 0.309 0.938 1
O3 O 0.691 0.062 0.691 1
O4 O 0.691 0.691 0.062 1
O5 O 0.672 0.065 0.065 1
O6 O 0.062 0.691 0.691 1
O7 O 0.938 0.309 0.309 1
O8 O 0.309 0.938 0.309 1
O9 O 0.328 0.935 0.935 1
O10 O 0.065 0.672 0.065 1
O11 O 0.935 0.328 0.935 1
O12 O 0.065 0.065 0.672 1
W1 W 0.500 0.000 0.000 1
W2 W 0.000 0.000 0.500 1
W3 W 0.000 0.500 0.000 1
Rb1 Rb 0.632 0.632 0.632 1
Rb2 Rb 0.368 0.368 0.368 1
Hf1 Hf 0.000 0.000 0.000 1
```



[3]
The following is a PBE+U calculation of a relaxed RbHfWO6 crystal, from the Alexandria database.

* E_tot: -137.7 eV/cell
* magnetic moment: 1.0 μB per formula unit

The structure in CIF format:
```
data_RbHfWO6
_cell_length_a 7.593
_cell_length_b 7.483
_cell_length_c 7.547
_cell_angle_alpha 119.72
_cell_angle_beta 120.20
_cell_angle_gamma 90.00
_symmetry_space_group_name_H-M 'P 1'
_symmetry_Int_Tables_number 1
_symmetry_space_group_name_Hall 'P 1'
loop_
_atom_site_label
_atom_site_type_symbol
_atom_site_fract_x
_atom_site_fract_y
_atom_site_fract_z
_atom_site_occupancy
Hf1 Hf 0.000 0.000 0.500 1
Hf2 Hf 0.500 0.000 0.500 1
O1 O 0.825 0.075 0.649 1
O2 O 0.175 0.925 0.351 1
O3 O 0.198 0.325 0.755 1
O4 O 0.802 0.675 0.245 1
O5 O 0.557 0.930 0.755 1
O6 O 0.198 0.930 0.755 1
O7 O 0.443 0.070 0.245 1
O8 O 0.557 0.325 0.755 1
O9 O 0.443 0.675 0.245 1
O10 O 0.554 0.304 0.108 1
O11 O 0.446 0.696 0.892 1
O12 O 0.802 0.070 0.245 1
Rb1 Rb 0.878 0.628 0.756 1
Rb2 Rb 0.122 0.372 0.244 1
W1 W 0.500 0.000 0.000 1
W2 W 0.500 0.500 0.000 1
```



[4]
The following is a PBE+U calculation of a relaxed Rb2HfWO6 crystal, from the Alexandria database.

* E_tot: -73.1 eV/cell
* magnetic moment: 0.0 μB per formula unit

The structure in CIF format:
```
data_Rb2HfWO6
_cell_length_a 5.799
_cell_length_b 5.799
_cell_length_c 5.799
_cell_angle_alpha 120.00
_cell_angle_beta 120.00
_cell_angle_gamma 90.00
_symmetry_space_group_name_H-M 'P 1'
_symmetry_Int_Tables_number 1
_symmetry_space_group_name_Hall 'P 1'
loop_
_atom_site_label
_atom_site_type_symbol
_atom_site_fract_x
_atom_site_fract_y
_atom_site_fract_z
_atom_site_occupancy
O1 O 0.241 0.241 0.482 1
O2 O 0.241 0.241 0.000 1
O3 O 0.759 0.759 0.000 1
O4 O 0.759 0.759 0.518 1
O5 O 0.241 0.759 0.000 1
O6 O 0.759 0.241 0.000 1
Rb1 Rb 0.750 0.250 0.500 1
Rb2 Rb 0.250 0.750 0.500 1
Hf1 Hf 0.500 0.500 0.000 1
W1 W 0.000 0.000 0.000 1
```